1.
Material: Ho2Lu4N
Method: DFT, PBE-GGA
State: relaxed

Cell: 9.3328 9.3328 9.3328 Å, 151.19 151.19 41.19°
Fractional coordinates of all 7 atoms:
Ho (0.1711, 0.1711, 0.0000)
Ho (0.8289, 0.8289, 0.0000)
Lu (0.0000, 0.5000, 0.5000)
Lu (0.3683, 0.3683, 0.0000)
Lu (0.5000, 0.0000, 0.5000)
Lu (0.6317, 0.6317, 0.0000)
N (0.5000, 0.5000, 0.0000)

Summary:
Crystal system: tetragonal
Energy relative to the elements, uncorrected in eV per atom: -0.286
SG: I4/mmm


2.
Material: HoLuN
Method: DFT, PBE-GGA
State: relaxed

Cell: 3.4400 3.4400 5.8296 Å, 90.00 90.00 120.00°
Fractional coordinates of all 3 atoms:
Ho (0.0000, 0.0000, 0.0000)
Lu (0.6667, 0.3333, 0.4538)
N (0.3333, 0.6667, 0.2378)

Summary:
Crystal system: trigonal
Energy relative to the elements, uncorrected in eV per atom: -1.091
SG: P3m1


3.
Material: NaHoLu
Method: DFT, PBE-GGA
State: relaxed

Cell: 3.4734 3.4734 9.1184 Å, 90.00 90.00 120.00°
Fractional coordinates of all 3 atoms:
Na (0.0000, 0.0000, 0.0000)
Ho (0.3333, 0.6667, 0.6467)
Lu (0.6667, 0.3333, 0.3495)

Summary:
DFT formation energy in eV/f.u.: 0.49
Crystal system: trigonal
SG: P3m1